Entry 1:
Compound: Tm4Re
Source: Alexandria
Functional: PBE
Structure: optimized geometry

The space group is Pm-3m (No. 221) and the conventional cell measures 5.356, 5.356 and 5.356 Å, with angles of 90.00, 90.00 and 90.00 degrees. The distinct sites, in fractional coordinates, are Tm at (0.000, 0.000, 0.000), Tm at (0.000, 0.500, 0.500) and Re at (0.500, 0.500, 0.500).

The formation energy is 1.41 eV per formula unit. For the magnetic moment, the calculation gives 0.0 μB/cell.

Entry 2:
Compound: TmURe4
Source: Alexandria
Functional: PBE
Structure: optimized geometry

The space group is F-43m (No. 216) and the conventional cell measures 7.633, 7.633 and 7.633 Å, with angles of 90.00, 90.00 and 90.00 degrees. The distinct sites, in fractional coordinates, are Tm at (0.000, 0.000, 0.000), U at (0.250, 0.250, 0.750) and Re at (0.125, 0.125, 0.375).

The formation energy is -0.17 eV per formula unit. For the magnetic moment, the calculation gives 9.1 μB/cell.

Entry 3:
Compound: TmURe
Source: Alexandria
Functional: PBE
Structure: optimized geometry

The space group is I4mm (No. 107) and the conventional cell measures 3.441, 3.441 and 10.922 Å, with angles of 90.00, 90.00 and 90.00 degrees. The distinct sites, in fractional coordinates, are Tm at (0.000, 0.000, 0.000), U at (0.000, 0.000, 0.700) and Re at (0.000, 0.000, 0.315).

The formation energy is 0.41 eV per formula unit. For the magnetic moment, the calculation gives 0.4 μB/cell.

Entry 4:
Compound: TmURe2
Source: Alexandria
Functional: PBE
Structure: optimized geometry

The space group is R-3m (No. 166, hexagonal axes) and the conventional cell measures 3.3714, 3.3714 and 24.7857 Å, with angles of 90.00, 90.00 and 120.00 degrees. The distinct sites, in fractional coordinates, are Tm at (0.0000, 0.0000, 0.0000), U at (0.0000, 0.0000, 0.5000) and Re at (0.0000, 0.0000, 0.2396).

The formation energy is 1.51 eV per formula unit. For the magnetic moment, the calculation gives 0.0 μB/cell.

In order of appearance, D(E_F) = 5.777 50.368 8.375 16.161 states/eV per cell.